Entry 1:
5
Lattice="4.5045 0.0000 0.0000 0.0000 4.5045 0.0000 0.0000 0.0000 4.7368" Properties=species:S:1:pos:R:3 comment="Li2LaIrRu (GGA-PBEsol, relaxed)" ef_kj_per_mol_atoms=18.5 final_energy_ev_per_atom=-5.6629 total_magnetization_mub_per_cell=0.00 dos_at_fermi_per_ev_cell=1.394 pbc="T T T"
Ru 0.0000 0.0000 0.0000
Ir 0.0000 0.0000 2.3684
Li 0.0000 2.2522 0.0000
Li 2.2522 0.0000 0.0000
La 2.2522 2.2522 2.3684


Entry 2:
6
Lattice="5.5927 0.0000 0.0000 2.7963 4.8434 0.0000 2.7963 1.6145 4.5664" Properties=species:S:1:pos:R:3 comment="LaMg4Ir (GGA-PBEsol, relaxed)" ef_kj_per_mol_atoms=5.3 final_energy_ev_per_atom=-3.6177 total_magnetization_mub_per_cell=0.00 dos_at_fermi_per_ev_cell=0.069 pbc="T T T"
Ir 8.3890 4.8434 3.4248
La 0.0000 0.0000 0.0000
Mg 4.2115 2.4315 1.7194
Mg 5.5927 3.2289 3.9748
Mg 6.9739 2.4315 1.7194
Mg 5.5927 4.8238 1.7194


Entry 3:
5
Lattice="-1.5277 -2.3966 3.9771 4.2646 -2.3804 0.2037 1.8369 3.5334 2.8348" Properties=species:S:1:pos:R:3 comment="LaMgIr3 (GGA-PBEsol, relaxed)" ef_kj_per_mol_atoms=165.3 final_energy_ev_per_atom=-5.5931 total_magnetization_mub_per_cell=0.00 dos_at_fermi_per_ev_cell=1.961 pbc="T T T"
Mg 2.2869 -0.6218 3.5078
Ir 2.1323 -1.1902 0.1019
Ir 0.9184 1.7667 1.4174
Ir -0.7639 -1.1983 1.9886
La 0.0000 0.0000 0.0000


Entry 4:
20
Lattice="-4.4956 1.6264 -2.7801 1.8546 -2.7096 -4.5841 -3.7869 -6.4991 2.3094" Properties=species:S:1:pos:R:3 comment="La2MgIrO6 (GGA-PBEsol, relaxed)" final_energy_ev_per_atom=-7.9300 total_magnetization_mub_per_cell=1.99 dos_at_fermi_per_ev_cell=13.584 e_form_raw_ev_per_atom=-2.557 pbc="T T T"
La -2.1276 -2.3107 -3.2968
La -0.9078 -1.7413 0.3281
La -5.5201 -5.8410 -5.3828
La -4.3003 -5.2716 -1.7579
Mg -0.9661 -4.6043 -1.1373
Mg -2.2478 0.8132 -1.3901
Ir 0.9273 -1.3548 -2.2920
Ir -4.1412 -2.4364 -0.2354
O -2.2610 -6.1549 -0.8779
O -4.6685 -4.2394 0.4839
O -4.1669 -1.4274 -4.1769
O -1.7594 -3.3429 -5.5386
O -1.1894 -4.7671 -3.1684
O -0.9352 -0.6156 -2.0515
O -5.2385 -2.8151 -1.8863
O -5.4927 -6.9667 -3.0032
O -6.8037 -5.4769 -0.9791
O -3.9100 -4.3306 -3.9539
O 0.3758 -2.1054 -4.0757
O -2.5179 -3.2517 -1.1009


Entry 5:
5
Lattice="-0.0607 0.6469 -4.7860 0.7968 -5.2557 -0.7205 -5.3044 -0.7986 -0.0407" Properties=species:S:1:pos:R:3 comment="La2MgIrRh (GGA-PBEsol, relaxed)" ef_kj_per_mol_atoms=1.4 final_energy_ev_per_atom=-6.0602 total_magnetization_mub_per_cell=0.00 dos_at_fermi_per_ev_cell=2.768 pbc="T T T"
Mg -0.0304 0.3235 -2.3930
Ir 0.0000 0.0000 0.0000
Rh -2.2842 -2.7037 -2.7736
La -2.6522 -0.3993 -0.0203
La 0.3984 -2.6278 -0.3603


Entry 6:
4
Lattice="-2.0006 -2.1636 0.8699 2.1275 -2.1627 -0.4865 2.2471 0.6720 6.8395" Properties=species:S:1:pos:R:3 comment="LaMn2Ir (GGA-PBEsol, relaxed)" ef_kj_per_mol_atoms=13.5 final_energy_ev_per_atom=-8.5333 total_magnetization_mub_per_cell=0.07 dos_at_fermi_per_ev_cell=3.716 pbc="T T T"
Ir 0.9945 0.2974 3.0270
La 1.7211 -1.6674 5.2371
Mn 0.1889 0.0565 0.5751
Mn 0.5930 -2.0048 1.8034


Entry 7:
4
Lattice="3.9116 0.0000 0.0000 0.0000 3.8852 0.0000 -1.9558 -1.9426 4.9656" Properties=species:S:1:pos:R:3 comment="LaMn2Ir (GGA-PBEsol, relaxed)" ef_kj_per_mol_atoms=30.2 final_energy_ev_per_atom=-8.3604 total_magnetization_mub_per_cell=0.27 dos_at_fermi_per_ev_cell=3.983 pbc="T T T"
Ir 1.9558 1.9426 0.1856
La 0.0000 1.9426 2.9069
Mn 0.0000 0.0000 0.2527
Mn 1.9558 0.0000 1.6204


Entry 8:
4
Lattice="4.4935 0.0000 0.0000 -2.2468 4.0091 0.0409 0.0000 2.4800 3.7472" Properties=species:S:1:pos:R:3 comment="LaMn2Ir (GGA-PBEsol, relaxed)" ef_kj_per_mol_atoms=27.0 final_energy_ev_per_atom=-8.3936 total_magnetization_mub_per_cell=6.95 dos_at_fermi_per_ev_cell=4.704 pbc="T T T"
Ir 2.2468 1.2400 1.8736
La 0.0000 0.0000 0.0000
Mn 0.0000 2.6245 0.9572
Mn 2.2468 3.8646 2.8308


Entry 9:
4
Lattice="4.8900 0.0000 0.0000 2.4450 4.2349 0.0000 2.4450 1.4116 3.9927" Properties=species:S:1:pos:R:3 comment="La2MnIr (GGA-PBEsol, relaxed)" ef_kj_per_mol_atoms=2.6 final_energy_ev_per_atom=-7.5423 total_magnetization_mub_per_cell=4.10 dos_at_fermi_per_ev_cell=5.558 pbc="T T T"
Ir 4.8900 2.8233 1.9963
La 0.0000 0.0000 0.0000
La 7.3351 4.2349 2.9945
Mn 2.4450 1.4116 0.9982


Entry 10:
5
Lattice="-3.2876 2.7651 -0.8164 -2.0195 -1.3249 3.6451 2.0577 3.1176 2.2732" Properties=species:S:1:pos:R:3 comment="LaMn3Ir (GGA-PBEsol, relaxed)" ef_kj_per_mol_atoms=191.6 final_energy_ev_per_atom=-6.9047 total_magnetization_mub_per_cell=6.55 dos_at_fermi_per_ev_cell=5.978 pbc="T T T"
Ir -1.6247 2.2789 2.5509
Mn -1.0098 -0.6624 1.8226
Mn 1.0288 1.5588 1.1366
Mn -1.6438 1.3826 -0.4082
La 0.0000 0.0000 0.0000


Entry 11:
4
Lattice="3.6514 0.0000 0.0000 0.0000 4.6497 0.0000 0.0000 0.0000 5.1625" Properties=species:S:1:pos:R:3 comment="La2MoIr (GGA-PBEsol, relaxed)" ef_kj_per_mol_atoms=17.4 final_energy_ev_per_atom=-7.8911 total_magnetization_mub_per_cell=0.00 polymorph_energy_ev_per_atom=0.204 dos_at_fermi_per_ev_cell=4.656 pbc="T T T"
Ir 1.8257 0.0000 2.5813
La 0.0000 0.0000 0.0000
La 0.0000 2.3249 2.5813
Mo 1.8257 2.3249 0.0000


Entry 12:
4
Lattice="-2.3422 -1.6130 -1.5516 -0.1438 -2.1328 2.4342 -4.9103 4.0205 3.2325" Properties=species:S:1:pos:R:3 comment="LaMoIr2 (GGA-PBEsol, relaxed)" ef_kj_per_mol_atoms=18.6 final_energy_ev_per_atom=-8.9977 total_magnetization_mub_per_cell=0.00 polymorph_energy_ev_per_atom=0.413 dos_at_fermi_per_ev_cell=5.352 pbc="T T T"
Ir -4.8201 3.9466 3.1731
Ir -2.2665 -1.0348 1.1151
La -2.3751 1.9447 1.5635
Mo -5.3001 1.4490 3.1121